Ca2TlCl5 after structural relaxation, computed with GGA-PBE.

Structure (CIF):
```
data_Ca2TlCl5
_chemical_formula_sum 'Ca8 Tl4 Cl20'
_cell_length_a 5.470
_cell_length_b 13.474
_cell_length_c 13.686
_cell_angle_alpha 90.00
_cell_angle_beta 90.00
_cell_angle_gamma 90.00
_symmetry_space_group_name_H-M 'C m c m'
_symmetry_Int_Tables_number 63
_symmetry_space_group_name_Hall '-C 2c 2'
loop_
_atom_site_label
_atom_site_fract_x
_atom_site_fract_y
_atom_site_fract_z
Ca1 0.000 0.144 0.058
Tl1 0.000 0.434 0.250
Cl1 0.000 0.048 0.619
Cl2 0.000 0.207 0.250
Cl3 0.000 0.330 0.533
```

Summary:
Its uncorrected formation energy is -2.049 eV/atom. The electronic total energy is -4.00 eV/atom.